Entry 1:
NdCuGe2 | PBE | relaxed

Structure (CIF):
```
data_NdCuGe2
_chemical_formula_sum 'Nd1 Cu1 Ge2'
_cell_length_a 5.7841
_cell_length_b 5.7841
_cell_length_c 5.7841
_cell_angle_alpha 42.34
_cell_angle_beta 42.34
_cell_angle_gamma 42.34
_space_group_name_H-M_alt 'P 1'
_space_group_IT_number 1
loop_
_space_group_symop_operation_xyz
'x,y,z'
loop_
_atom_site_label
_atom_site_fract_x
_atom_site_fract_y
_atom_site_fract_z
_atom_site_occupancy
Nd1 0.0000 0.0000 0.0000 1
Cu1 0.5000 0.5000 0.5000 1
Ge1 0.2178 0.2178 0.2178 1
Ge2 0.7822 0.7822 0.7822 1
```

Values from the calculation:
V: 79.5 Å³/cell
DFT total energy: -19.9 eV for the cell shown


Entry 2:
Ca5HgPd4 | PBE | relaxed

Structure (CIF):
```
data_Ca5HgPd4
_chemical_formula_sum 'Ca5 Hg1 Pd4'
_cell_length_a 3.6031
_cell_length_b 3.6031
_cell_length_c 17.7233
_cell_angle_alpha 90.00
_cell_angle_beta 90.00
_cell_angle_gamma 90.00
_space_group_name_H-M_alt 'P 1'
_space_group_IT_number 1
loop_
_space_group_symop_operation_xyz
'x,y,z'
loop_
_atom_site_label
_atom_site_fract_x
_atom_site_fract_y
_atom_site_fract_z
_atom_site_occupancy
Ca1 0.0000 0.0000 0.0000 1
Ca2 0.0000 0.0000 0.1929 1
Ca3 0.0000 0.0000 0.3859 1
Ca4 0.0000 0.0000 0.6141 1
Ca5 0.0000 0.0000 0.8071 1
Hg1 0.5000 0.5000 0.5000 1
Pd1 0.5000 0.5000 0.0973 1
Pd2 0.5000 0.5000 0.2895 1
Pd3 0.5000 0.5000 0.7105 1
Pd4 0.5000 0.5000 0.9027 1
```

Values from the calculation:
V: 230.1 Å³/cell
DFT total energy: -37.6 eV for the cell shown


Entry 3:
CaOsCl2 | PBE | relaxed

Structure (CIF):
```
data_CaOsCl2
_chemical_formula_sum 'Ca1 Os1 Cl2'
_cell_length_a 4.9459
_cell_length_b 4.9459
_cell_length_c 4.9459
_cell_angle_alpha 60.00
_cell_angle_beta 60.00
_cell_angle_gamma 60.00
_space_group_name_H-M_alt 'P 1'
_space_group_IT_number 1
loop_
_space_group_symop_operation_xyz
'x,y,z'
loop_
_atom_site_label
_atom_site_fract_x
_atom_site_fract_y
_atom_site_fract_z
_atom_site_occupancy
Ca1 0.0000 0.0000 0.0000 1
Os1 0.5000 0.5000 0.5000 1
Cl1 0.2500 0.2500 0.2500 1
Cl2 0.7500 0.7500 0.7500 1
```

Values from the calculation:
energy relative to the elements, uncorrected: 113 meV per atom
distance to the lowest polymorph of the same formula: 524 meV/atom
V: 85.5 Å³/cell
DFT total energy: -16.5 eV for the cell shown


Entry 4:
Ce2Pu2Si4Rh | PBE | relaxed

Structure (CIF):
```
data_Ce2Pu2Si4Rh
_chemical_formula_sum 'Ce2 Pu2 Si4 Rh1'
_cell_length_a 6.3952
_cell_length_b 6.3952
_cell_length_c 6.3952
_cell_angle_alpha 115.40
_cell_angle_beta 115.40
_cell_angle_gamma 98.18
_space_group_name_H-M_alt 'P 1'
_space_group_IT_number 1
loop_
_space_group_symop_operation_xyz
'x,y,z'
loop_
_atom_site_label
_atom_site_fract_x
_atom_site_fract_y
_atom_site_fract_z
_atom_site_occupancy
Ce1 0.2500 0.7500 0.5000 1
Ce2 0.7500 0.2500 0.5000 1
Pu1 0.1732 0.1732 0.0000 1
Pu2 0.8268 0.8268 0.0000 1
Si1 0.2557 0.2557 0.5115 1
Si2 0.2557 0.7443 0.0000 1
Si3 0.7443 0.2557 0.0000 1
Si4 0.7443 0.7443 0.4885 1
Rh1 0.5000 0.5000 0.0000 1
```

Values from the calculation:
energy relative to the elements, uncorrected: -401 meV per atom
V: 195.7 Å³/cell
DFT total energy: -73.2 eV for the cell shown